# 1
Material: HfGaAgN2
Method: DFT, PBE-GGA
State: relaxed

Lattice parameters (Å, degrees): 3.960 3.960 5.292 90.00 90.00 90.00
Space group P4/mmm (No. 123)
One atom of each set of equivalent atoms:
Hf1 0.000 0.000 0.000 x1
Ga1 0.000 0.000 0.500 x1
Ag1 0.500 0.500 0.000 x1
N1 0.000 0.500 0.500 x2

Calculated values
N(E_F) ... 2.88 states/eV/cell
E_form (uncorrected) ... 1458 meV/atom
Magnetization ... 1.4 μB/f.u.

---

# 2
Material: RbScBr
Method: DFT, PBE-GGA
State: relaxed

Lattice parameters (Å, degrees): 3.725 5.452 10.022 90.00 90.91 90.00
Space group Pm (No. 6)
One atom of each set of equivalent atoms:
Rb1 0.000 0.000 0.000 x1
Rb2 0.013 0.500 0.337 x1
Sc1 0.031 0.500 0.705 x1
Sc2 0.524 0.000 0.597 x1
Br1 0.501 0.500 0.948 x1
Br2 0.511 0.000 0.304 x1

Calculated values
N(E_F) ... 6.47 states/eV/cell
E_form (uncorrected) ... -631 meV/atom
Magnetization ... 1.1 μB/f.u.
Energy above the most stable polymorph in this dataset ... 0.032 eV/atom

---

# 3
Material: BaYZr2
Method: DFT, PBE-GGA
State: relaxed

Lattice parameters (Å, degrees): 6.824 10.125 3.402 90.00 90.00 90.00
Space group Cmmm (No. 65)
One atom of each set of equivalent atoms:
Ba1 0.000 0.000 0.000 x2
Y1 0.000 0.500 0.000 x2
Zr1 0.250 0.250 0.500 x4

Calculated values
N(E_F) ... 11.00 states/eV/cell
Formation energy from the elements ... 49.28 kJ/mol of atoms
Magnetization ... 0.0 μB/f.u.
Energy above the most stable polymorph in this dataset ... 0.237 eV/atom

---

# 4
Material: BaCu3C
Method: DFT, PBE-GGA
State: relaxed

Lattice parameters (Å, degrees): 4.304 4.304 4.304 90.00 90.00 90.00
Space group Pm-3m (No. 221)
One atom of each set of equivalent atoms:
Ba1 0.000 0.000 0.000 x1
Cu1 0.000 0.500 0.500 x3
C1 0.500 0.500 0.500 x1

Calculated values
N(E_F) ... 3.24 states/eV/cell
Formation energy from the elements ... 56.90 kJ/mol of atoms
Magnetization ... 0.0 μB/f.u.
Energy above the most stable polymorph in this dataset ... 0.000 eV/atom

---

# 5
Material: K2NaCoC6N6
Method: DFT, PBE-GGA
State: relaxed

Lattice parameters (Å, degrees): 7.143 7.587 12.565 90.00 123.87 90.00
Space group P2_1/c (No. 14)
One atom of each set of equivalent atoms:
K1 0.222 0.073 0.247 x4
Na1 0.000 0.000 0.500 x2
Co1 0.500 0.000 0.000 x2
C1 0.248 0.131 0.963 x4
C2 0.326 0.706 0.453 x4
C3 0.414 0.027 0.830 x4
N1 0.088 0.211 0.938 x4
N2 0.214 0.666 0.922 x4
N3 0.358 0.047 0.723 x4

Calculated values
N(E_F) ... 0.00 states/eV/cell
E_form (uncorrected) ... -145 meV/atom
Magnetization ... 0.2 μB/f.u.

---

# 6
Material: TeAs
Method: DFT, PBE-GGA
State: relaxed

Lattice parameters (Å, degrees): 5.0048 5.0048 5.9074 90.00 90.00 120.00
Space group P6_3/mmc (No. 194)
One atom of each set of equivalent atoms:
Te1 0.3333 0.6667 0.2500 x2
As1 0.3333 0.6667 0.7500 x2

Calculated values
N(E_F) ... 2.61 states/eV/cell
E_form (uncorrected) ... 263 meV/atom
Magnetization ... 0.0 μB/f.u.

---

# 7
Material: CeGaAg
Method: DFT, PBE-GGA
State: relaxed

Lattice parameters (Å, degrees): 6.690 6.690 6.690 90.00 90.00 90.00
Space group F-43m (No. 216)
One atom of each set of equivalent atoms:
Ce1 0.000 0.000 0.000 x4
Ga1 0.000 0.000 0.500 x4
Ag1 0.250 0.250 0.750 x4

Calculated values
N(E_F) ... 17.08 states/eV/cell
Formation energy from the elements ... -17.49 kJ/mol of atoms
Magnetization ... 0.2 μB/f.u.

---

# 8
Material: SrAcSiBr
Method: DFT, PBE-GGA
State: relaxed

Lattice parameters (Å, degrees): 7.823 7.823 7.823 90.00 90.00 90.00
Space group F-43m (No. 216)
One atom of each set of equivalent atoms:
Sr1 0.000 0.000 0.000 x4
Ac1 0.000 0.000 0.500 x4
Si1 0.250 0.250 0.750 x4
Br1 0.250 0.250 0.250 x4

Calculated values
N(E_F) ... 2.19 states/eV/cell
E_form (uncorrected) ... -863 meV/atom
Magnetization ... 0.0 μB/f.u.
Energy above the most stable polymorph in this dataset ... 0.142 eV/atom